No. 1
VASP calculation (GGA-PBE) on a geometry-optimized SrCaH3 structure.

As for the total energy: -15.6 eV/f.u. As for the space group: No. 221. The value obtained for the density of states at the Fermi level is 0.987 states/eV/f.u.

Cell: 4.339 4.339 4.339 Å, 90.00 90.00 90.00°
Positions (direct):
Sr 0.000 0.000 0.000
Ca 0.500 0.500 0.500
H 0.000 0.500 0.500
H 0.500 0.000 0.500
H 0.500 0.500 0.000

***

No. 2
VASP calculation (GGA-PBE) on a geometry-optimized Cs2AgAuI structure.

As for the total energy: -12.3 eV/f.u. As for the space group: No. 123. The value obtained for the density of states at the Fermi level is 2.041 states/eV/f.u.

Cell: 6.857 6.857 5.286 Å, 90.00 90.00 90.00°
Positions (direct):
Cs 0.000 0.500 0.000
Cs 0.500 0.000 0.000
Ag 0.000 0.000 0.500
Au 0.000 0.000 0.000
I 0.500 0.500 0.500

***

No. 3
VASP calculation (GGA-PBE) on a geometry-optimized Mg3GaPt structure.

As for the space group: No. 221. The value obtained for the energy of formation is -0.97 eV per formula unit. The value obtained for the density of states at the Fermi level is 2.352 states/eV/f.u.

Cell: 5.009 5.009 5.009 Å, 90.00 90.00 90.00°
Positions (direct):
Mg 0.000 0.000 0.500
Mg 0.000 0.500 0.000
Mg 0.500 0.000 0.000
Ga 0.500 0.500 0.500
Pt 0.000 0.000 0.000

***

No. 4
VASP calculation (GGA-PBE) on a geometry-optimized AsS2F structure.

As for the total energy: -13.4 eV/f.u. As for the space group: No. 166. The value obtained for the density of states at the Fermi level is 2.265 states/eV/f.u.

Cell: 8.730 8.730 8.730 Å, 18.53 18.53 18.53°
Positions (direct):
As 0.000 0.000 0.000
S 0.092 0.092 0.092
S 0.908 0.908 0.908
F 0.500 0.500 0.500

***

Repeat the fourth record exactly.
VASP calculation (GGA-PBE) on a geometry-optimized AsS2F structure.

As for the total energy: -13.4 eV/f.u. As for the space group: No. 166. The value obtained for the density of states at the Fermi level is 2.265 states/eV/f.u.

Cell: 8.730 8.730 8.730 Å, 18.53 18.53 18.53°
Positions (direct):
As 0.000 0.000 0.000
S 0.092 0.092 0.092
S 0.908 0.908 0.908
F 0.500 0.500 0.500